No. 1
Density functional theory data (PBE) for crystalline SrZrMo2 at its relaxed geometry.

Density ... 7.3 g/cm3
SG ... No. 139
Density of states at the Fermi level ... 1.247 states/eV/atom
Magnetic moment ... 0.00 μB per formula unit
Excess energy over the best structure of this formula in the dataset ... 64.0 kJ/mol of atoms

```
SrZrMo2
1.0
5.622 -0.001 0.000
2.502 5.034 0.000
-4.062 -2.517 2.962
Mo Sr Zr
2 1 1
Direct
0.000 0.000 0.000
0.500 0.500 0.000
0.250 0.750 0.500
0.750 0.250 0.500
```


No. 2
Density functional theory data (PBE) for crystalline SrZr2Mo at its relaxed geometry.

Density ... 6.6 g/cm3
SG ... No. 10
Density of states at the Fermi level ... 1.275 states/eV/atom
Magnetic moment ... 0.00 μB per formula unit
Excess energy over the best structure of this formula in the dataset ... 51.4 kJ/mol of atoms

```
SrZr2Mo
1.0
-0.396 -1.729 2.320
5.852 -1.249 0.068
3.863 3.465 3.243
Mo Sr Zr
1 1 2
Direct
0.500 0.500 0.500
0.000 0.000 0.500
0.000 0.000 0.000
0.500 0.500 0.000
```


Calculated formation energy? In order: 1.062, 0.739 eV/atom.
E? In order: -27.6, -26.7 eV/cell.